{"formula": "Ru2RhBr", "functional": "PBE", "state": "relaxed", "polymorph_energy_mev_per_atom": 0, "formation_energy_uncorrected_ev_per_fu": 2.06, "e_tot_ev_per_atom": -6.38, "crystal_system": "orthorhombic", "cell": [[3.539, 0.000, 0.000], [0.000, 2.801, 0.248], [0.000, 2.183, 7.198]], "species": ["Ru", "Ru", "Rh", "Br"], "fractional_positions": [[0.000, 0.113, 0.011], [0.500, 0.435, 0.190], [0.500, 0.815, 0.809], [0.000, 0.136, 0.490]]}

=====

{"formula": "RuRhBr2", "functional": "PBE", "state": "relaxed", "polymorph_energy_mev_per_atom": 373, "formation_energy_uncorrected_ev_per_fu": 2.38, "e_tot_ev_per_atom": -4.40, "crystal_system": "orthorhombic", "cell": [[8.078, 0.175, -0.129], [6.537, 4.749, 0.129], [-7.216, -2.734, 2.400]], "species": ["Ru", "Rh", "Br", "Br"], "fractional_positions": [[0.690, 0.190, 0.500], [0.559, 0.559, 0.000], [0.994, 0.994, 0.000], [0.257, 0.757, 0.500]]}

=====

{"formula": "Ru3RhBr", "functional": "PBE", "state": "relaxed", "polymorph_energy_mev_per_atom": 162, "formation_energy_uncorrected_ev_per_fu": 9.46, "e_tot_ev_per_atom": -5.48, "crystal_system": "cubic", "cell": [[-0.091, -0.549, 4.776], [-3.312, -3.455, -0.460], [3.485, -3.299, -0.313]], "species": ["Ru", "Ru", "Ru", "Rh", "Br"], "fractional_positions": [[0.000, 0.500, 0.000], [0.000, 0.000, 0.500], [0.500, 0.000, 0.000], [0.000, 0.000, 0.000], [0.500, 0.500, 0.500]]}

=====

{"formula": "RuRh2Br", "functional": "PBE", "state": "relaxed", "polymorph_energy_mev_per_atom": 439, "formation_energy_uncorrected_ev_per_fu": 3.50, "e_tot_ev_per_atom": -5.54, "crystal_system": "cubic", "cell": [[2.298, -3.630, -1.213], [-1.502, -2.589, -3.312], [2.142, -0.081, -3.916]], "species": ["Ru", "Rh", "Rh", "Br"], "fractional_positions": [[0.500, 0.500, 0.500], [0.250, 0.250, 0.250], [0.750, 0.750, 0.750], [0.000, 0.000, 0.000]]}

=====

{"formula": "RuRh2Br", "functional": "PBE", "state": "relaxed", "polymorph_energy_mev_per_atom": 343, "formation_energy_uncorrected_ev_per_fu": 3.11, "e_tot_ev_per_atom": -5.63, "crystal_system": "tetragonal", "cell": [[-1.811, -1.503, -4.020], [2.226, -4.033, -0.691], [-2.292, 1.367, 3.818]], "species": ["Ru", "Rh", "Rh", "Br"], "fractional_positions": [[0.500, 0.500, 0.000], [0.000, 0.000, 0.000], [0.250, 0.750, 0.500], [0.750, 0.250, 0.500]]}

=====

{"formula": "RuRh2Br", "functional": "PBE", "state": "relaxed", "polymorph_energy_mev_per_atom": 292, "formation_energy_uncorrected_ev_per_fu": 2.91, "e_tot_ev_per_atom": -5.69, "crystal_system": "orthorhombic", "cell": [[6.187, 0.004, 0.013], [-2.432, 4.106, -0.006], [1.323, 0.790, 2.423]], "species": ["Ru", "Rh", "Rh", "Br"], "fractional_positions": [[0.000, 0.500, 0.500], [0.000, 0.000, 0.000], [0.500, 0.000, 0.500], [0.500, 0.500, 0.000]]}

=====

{"formula": "Ru2RhBr", "functional": "PBE", "state": "relaxed", "polymorph_energy_mev_per_atom": 420, "formation_energy_uncorrected_ev_per_fu": 3.74, "e_tot_ev_per_atom": -5.96, "crystal_system": "cubic", "cell": [[4.379, -0.090, 0.664], [1.612, -0.157, 4.123], [1.940, -3.697, 1.481]], "species": ["Ru", "Ru", "Rh", "Br"], "fractional_positions": [[0.250, 0.250, 0.250], [0.750, 0.750, 0.750], [0.500, 0.500, 0.500], [0.000, 0.000, 0.000]]}

=====

{"formula": "Ru3RhBr", "functional": "PBE", "state": "relaxed", "polymorph_energy_mev_per_atom": 0, "formation_energy_uncorrected_ev_per_fu": 8.65, "e_tot_ev_per_atom": -5.64, "crystal_system": "cubic", "cell": [[-1.641, -3.372, 2.471], [4.175, -1.190, 1.150], [-0.209, 2.717, 3.570]], "species": ["Ru", "Ru", "Ru", "Rh", "Br"], "fractional_positions": [[0.000, 0.500, 0.000], [0.000, 0.000, 0.500], [0.500, 0.000, 0.000], [0.500, 0.500, 0.500], [0.000, 0.000, 0.000]]}

=====

{"formula": "RuRhBr2", "functional": "PBE", "state": "relaxed", "polymorph_energy_mev_per_atom": 0, "formation_energy_uncorrected_ev_per_fu": 0.89, "e_tot_ev_per_atom": -4.77, "crystal_system": "monoclinic", "cell": [[-2.987, 1.589, 1.174], [-1.599, -1.419, -2.147], [-1.283, -6.165, 5.085]], "species": ["Ru", "Rh", "Br", "Br"], "fractional_positions": [[0.500, 0.876, 0.706], [0.000, 0.374, 0.547], [0.000, 0.879, 0.913], [0.500, 0.371, 0.333]]}

=====

{"formula": "Ru2RhBr", "functional": "PBE", "state": "relaxed", "polymorph_energy_mev_per_atom": 341, "formation_energy_uncorrected_ev_per_fu": 3.42, "e_tot_ev_per_atom": -6.04, "crystal_system": "tetragonal", "cell": [[-1.561, 2.027, -1.338], [-3.717, -1.271, 2.412], [1.104, 3.027, 3.296]], "species": ["Ru", "Ru", "Rh", "Br"], "fractional_positions": [[0.000, 0.000, 0.000], [0.000, 0.500, 0.500], [0.500, 0.000, 0.500], [0.500, 0.500, 0.000]]}

=====

{"formula": "RuRhBr2", "functional": "PBE", "state": "relaxed", "polymorph_energy_mev_per_atom": 499, "formation_energy_uncorrected_ev_per_fu": 2.89, "e_tot_ev_per_atom": -4.27, "crystal_system": "monoclinic", "cell": [[-2.126, -0.758, 2.283], [2.073, -5.140, 0.224], [3.944, -2.272, 2.918]], "species": ["Ru", "Rh", "Br", "Br"], "fractional_positions": [[0.000, 0.000, 0.500], [0.500, 0.500, 0.500], [0.000, 0.000, 0.000], [0.500, 0.500, 0.000]]}

=====

{"formula": "Ru2RhBr", "functional": "PBE", "state": "relaxed", "polymorph_energy_mev_per_atom": 376, "formation_energy_uncorrected_ev_per_fu": 3.56, "e_tot_ev_per_atom": -6.00, "crystal_system": "tetragonal", "cell": [[-0.415, -2.644, 3.775], [-1.659, -3.955, -1.737], [3.744, 2.331, -1.400]], "species": ["Ru", "Ru", "Rh", "Br"], "fractional_positions": [[0.000, 0.000, 0.000], [0.500, 0.500, 0.000], [0.750, 0.250, 0.500], [0.250, 0.750, 0.500]]}

=====

{"formula": "RuRh2Br", "functional": "PBE", "state": "relaxed", "polymorph_energy_mev_per_atom": 263, "formation_energy_uncorrected_ev_per_fu": 2.80, "e_tot_ev_per_atom": -5.71, "crystal_system": "orthorhombic", "cell": [[-4.616, 1.084, 2.583], [-4.612, -2.267, -1.658], [5.005, -0.583, 1.940]], "species": ["Ru", "Rh", "Rh", "Br"], "fractional_positions": [[0.517, 0.517, 0.000], [0.982, 0.982, 0.000], [0.261, 0.761, 0.500], [0.741, 0.241, 0.500]]}

=====

{"formula": "RuRh2Br", "functional": "PBE", "state": "relaxed", "polymorph_energy_mev_per_atom": 28, "formation_energy_uncorrected_ev_per_fu": 1.86, "e_tot_ev_per_atom": -5.95, "crystal_system": "orthorhombic", "cell": [[-2.424, -1.281, -2.285], [-0.735, -1.999, 1.900], [-4.644, 4.170, 2.590]], "species": ["Ru", "Rh", "Rh", "Br"], "fractional_positions": [[0.000, 0.750, 0.442], [0.000, 0.750, 0.054], [0.500, 0.250, 0.261], [0.500, 0.750, 0.743]]}

=====

{"formula": "RuRhBr2", "functional": "PBE", "state": "relaxed", "polymorph_energy_mev_per_atom": 605, "formation_energy_uncorrected_ev_per_fu": 3.31, "e_tot_ev_per_atom": -4.17, "crystal_system": "orthorhombic", "cell": [[3.068, 0.000, 0.000], [0.000, 5.834, 0.000], [0.000, 0.000, 4.218]], "species": ["Ru", "Rh", "Br", "Br"], "fractional_positions": [[0.000, 0.500, 0.500], [0.500, 0.000, 0.500], [0.000, 0.000, 0.000], [0.500, 0.500, 0.000]]}